1.
# CdHgAu2, relaxed, DFT GGA-PBEsol
# Symmetry ... No. 6
# Formation energy ... -0.058 eV/atom
data_CdHgAu2
_chemical_formula_sum 'Cd1 Hg1 Au2'
_space_group_name_H-M_alt 'P 1'
_space_group_IT_number 1
_cell_length_a 3.1116
_cell_length_b 4.5195
_cell_length_c 5.6581
_cell_angle_alpha 90.00
_cell_angle_beta 107.44
_cell_angle_gamma 90.00
loop_
_space_group_symop_operation_xyz
'x,y,z'
loop_
_atom_site_label
_atom_site_type_symbol
_atom_site_fract_x
_atom_site_fract_y
_atom_site_fract_z
Au1 Au 0.7888 0.0000 0.9708
Au2 Au 0.9628 0.5000 0.2840
Cd1 Cd 0.5522 0.0000 0.4442
Hg1 Hg 0.1962 0.5000 0.8010



2.
# V4Cu3O12, relaxed, DFT GGA-PBEsol
# Symmetry ... No. 204
# Total energy ... -7.82 eV per atom
data_V4Cu3O12
_chemical_formula_sum 'V4 Cu3 O12'
_space_group_name_H-M_alt 'P 1'
_space_group_IT_number 1
_cell_length_a 6.1899
_cell_length_b 6.1899
_cell_length_c 6.1899
_cell_angle_alpha 109.47
_cell_angle_beta 109.47
_cell_angle_gamma 109.47
loop_
_space_group_symop_operation_xyz
'x,y,z'
loop_
_atom_site_label
_atom_site_type_symbol
_atom_site_fract_x
_atom_site_fract_y
_atom_site_fract_z
V1 V 0.5000 0.5000 0.5000
V2 V 0.0000 0.5000 0.0000
V3 V 0.5000 0.0000 0.0000
V4 V 0.0000 0.0000 0.5000
O1 O 0.3064 0.1206 0.8142
O2 O 0.3064 0.4921 0.1858
O3 O 0.8794 0.1858 0.6936
O4 O 0.1858 0.6936 0.8794
O5 O 0.4921 0.1858 0.3064
O6 O 0.5079 0.8142 0.6936
O7 O 0.1858 0.3064 0.4921
O8 O 0.8142 0.3064 0.1206
O9 O 0.6936 0.8794 0.1858
O10 O 0.1206 0.8142 0.3064
O11 O 0.6936 0.5079 0.8142
O12 O 0.8142 0.6936 0.5079
Cu1 Cu 0.5000 0.0000 0.5000
Cu2 Cu 0.5000 0.5000 0.0000
Cu3 Cu 0.0000 0.5000 0.5000



For each record above, in turn, the calculated magnetization values are 0.00, 0.00 μB per cell.